1.
# TbSm2Pb, optimized geometry, DFT PBE
# space group: Fm-3m
# energy of formation from the pure elements: -0.134 eV per atom
# V: 120.90 Å³ per cell
# magnetic moment: 0.49 Bohr magnetons per cell
# relative energy among the computed polymorphs: 0.177 eV per atom
# E_tot: -4.578 eV per atom
# density of states at the Fermi level: 7.731 states/eV/cell
data_TbSm2Pb
_chemical_formula_sum 'Tb1 Sm2 Pb1'
_cell_length_a 5.5503
_cell_length_b 5.5503
_cell_length_c 5.5503
_cell_angle_alpha 60.00
_cell_angle_beta 60.00
_cell_angle_gamma 60.00
_symmetry_space_group_name_H-M 'P 1'
_symmetry_Int_Tables_number 1
loop_
_symmetry_equiv_pos_as_xyz
'x,y,z'
loop_
_atom_site_label
_atom_site_fract_x
_atom_site_fract_y
_atom_site_fract_z
Sm1 0.7500 0.7500 0.7500
Sm2 0.2500 0.2500 0.2500
Pb1 0.0000 0.0000 0.0000
Tb1 0.5000 0.5000 0.5000

=====

2.
# TbSmPb2, optimized geometry, DFT PBE
# space group: P4/mmm
# energy of formation from the pure elements: -0.466 eV per atom
# V: 115.40 Å³ per cell
# magnetic moment: 0.00 Bohr magnetons per cell
# E_tot: -4.657 eV per atom
# density of states at the Fermi level: 4.125 states/eV/cell
data_TbSmPb2
_chemical_formula_sum 'Tb1 Sm1 Pb2'
_cell_length_a 4.5081
_cell_length_b 5.0595
_cell_length_c 5.0595
_cell_angle_alpha 90.00
_cell_angle_beta 90.00
_cell_angle_gamma 90.00
_symmetry_space_group_name_H-M 'P 1'
_symmetry_Int_Tables_number 1
loop_
_symmetry_equiv_pos_as_xyz
'x,y,z'
loop_
_atom_site_label
_atom_site_fract_x
_atom_site_fract_y
_atom_site_fract_z
Sm1 0.5000 0.5000 0.5000
Tb1 0.5000 0.0000 0.0000
Pb1 0.0000 0.0000 0.5000
Pb2 0.0000 0.5000 0.0000

=====

3.
# Tb2SmPb, optimized geometry, DFT PBE
# space group: Cmcm
# energy of formation from the pure elements: -0.235 eV per atom
# V: 258.02 Å³ per cell
# magnetic moment: 1.49 Bohr magnetons per cell
# relative energy among the computed polymorphs: 0.066 eV per atom
# E_tot: -4.657 eV per atom
# density of states at the Fermi level: 11.847 states/eV/cell
data_Tb2SmPb
_chemical_formula_sum 'Tb4 Sm2 Pb2'
_cell_length_a 4.2644
_cell_length_b 6.6445
_cell_length_c 9.6142
_cell_angle_alpha 90.00
_cell_angle_beta 90.00
_cell_angle_gamma 108.71
_symmetry_space_group_name_H-M 'P 1'
_symmetry_Int_Tables_number 1
loop_
_symmetry_equiv_pos_as_xyz
'x,y,z'
loop_
_atom_site_label
_atom_site_fract_x
_atom_site_fract_y
_atom_site_fract_z
Pb1 0.2454 0.4907 0.2500
Pb2 0.7546 0.5093 0.7500
Tb1 0.3650 0.7302 0.9508
Tb2 0.3650 0.7302 0.5492
Tb3 0.6350 0.2698 0.4508
Tb4 0.6350 0.2698 0.0492
Sm1 0.0559 0.1118 0.7500
Sm2 0.9441 0.8882 0.2500

=====

4.
# Tb6Sm12Pb, optimized geometry, DFT PBE
# space group: R-3m
# energy of formation from the pure elements: 0.075 eV per atom
# V: 638.83 Å³ per cell
# magnetic moment: 0.00 Bohr magnetons per cell
# E_tot: -4.563 eV per atom
# density of states at the Fermi level: 29.117 states/eV/cell
data_Tb6Sm12Pb
_chemical_formula_sum 'Tb6 Sm12 Pb1'
_cell_length_a 8.7024
_cell_length_b 8.7024
_cell_length_c 8.7024
_cell_angle_alpha 97.81
_cell_angle_beta 97.81
_cell_angle_gamma 97.81
_symmetry_space_group_name_H-M 'P 1'
_symmetry_Int_Tables_number 1
loop_
_symmetry_equiv_pos_as_xyz
'x,y,z'
loop_
_atom_site_label
_atom_site_fract_x
_atom_site_fract_y
_atom_site_fract_z
Sm1 0.8272 0.4223 0.4221
Sm2 0.2598 0.7402 0.9996
Sm3 0.4221 0.8272 0.4223
Sm4 0.4223 0.4221 0.8272
Sm5 0.0004 0.7402 0.2598
Sm6 0.7402 0.9996 0.2598
Sm7 0.5779 0.1728 0.5777
Sm8 0.2598 0.0004 0.7402
Sm9 0.1728 0.5777 0.5779
Sm10 0.5777 0.5779 0.1728
Sm11 0.7402 0.2598 0.0004
Sm12 0.9996 0.2598 0.7402
Tb1 0.5930 0.8652 0.8647
Tb2 0.8652 0.8647 0.5930
Tb3 0.4070 0.1348 0.1353
Tb4 0.1353 0.4070 0.1348
Tb5 0.8647 0.5930 0.8652
Tb6 0.1348 0.1353 0.4070
Pb1 0.0000 0.0000 0.0000

=====

5.
# TbSmPb, optimized geometry, DFT PBE
# space group: P4/nmm
# energy of formation from the pure elements: -0.440 eV per atom
# V: 185.94 Å³ per cell
# magnetic moment: 0.00 Bohr magnetons per cell
# relative energy among the computed polymorphs: 0.000 eV per atom
# E_tot: -4.793 eV per atom
# density of states at the Fermi level: 5.583 states/eV/cell
data_TbSmPb
_chemical_formula_sum 'Tb2 Sm2 Pb2'
_cell_length_a 4.6128
_cell_length_b 4.6155
_cell_length_c 8.7335
_cell_angle_alpha 90.00
_cell_angle_beta 89.98
_cell_angle_gamma 90.00
_symmetry_space_group_name_H-M 'P 1'
_symmetry_Int_Tables_number 1
loop_
_symmetry_equiv_pos_as_xyz
'x,y,z'
loop_
_atom_site_label
_atom_site_fract_x
_atom_site_fract_y
_atom_site_fract_z
Pb1 0.2494 0.7500 0.7813
Pb2 0.7506 0.2500 0.2187
Sm1 0.2505 0.7500 0.1557
Sm2 0.7495 0.2500 0.8443
Tb1 0.7500 0.7500 0.5001
Tb2 0.2500 0.2500 0.4999

=====

6.
# Tb2SmPb, optimized geometry, DFT PBE
# space group: R-3m
# energy of formation from the pure elements: 0.044 eV per atom
# V: 132.80 Å³ per cell
# magnetic moment: 0.00 Bohr magnetons per cell
# relative energy among the computed polymorphs: 0.345 eV per atom
# E_tot: -4.378 eV per atom
# density of states at the Fermi level: 3.953 states/eV/cell
data_Tb2SmPb
_chemical_formula_sum 'Tb2 Sm1 Pb1'
_cell_length_a 3.5576
_cell_length_b 3.5576
_cell_length_c 12.2887
_cell_angle_alpha 81.68
_cell_angle_beta 81.68
_cell_angle_gamma 60.00
_symmetry_space_group_name_H-M 'P 1'
_symmetry_Int_Tables_number 1
loop_
_symmetry_equiv_pos_as_xyz
'x,y,z'
loop_
_atom_site_label
_atom_site_fract_x
_atom_site_fract_y
_atom_site_fract_z
Sm1 0.5000 0.5000 0.5000
Pb1 0.0000 0.0000 0.0000
Tb1 0.9124 0.9124 0.2627
Tb2 0.0876 0.0876 0.7373

=====

7.
# Tb3Sm2Pb, optimized geometry, DFT PBE
# space group: Cmmm
# energy of formation from the pure elements: -0.183 eV per atom
# V: 185.74 Å³ per cell
# magnetic moment: 0.00 Bohr magnetons per cell
# E_tot: -4.689 eV per atom
# density of states at the Fermi level: 6.542 states/eV/cell
data_Tb3Sm2Pb
_chemical_formula_sum 'Tb3 Sm2 Pb1'
_cell_length_a 4.9481
_cell_length_b 4.8978
_cell_length_c 8.0460
_cell_angle_alpha 107.72
_cell_angle_beta 90.00
_cell_angle_gamma 90.00
_symmetry_space_group_name_H-M 'P 1'
_symmetry_Int_Tables_number 1
loop_
_symmetry_equiv_pos_as_xyz
'x,y,z'
loop_
_atom_site_label
_atom_site_fract_x
_atom_site_fract_y
_atom_site_fract_z
Tb1 0.5000 0.1670 0.3339
Tb2 0.5000 0.5000 0.0000
Tb3 0.5000 0.8330 0.6661
Pb1 0.0000 0.0000 0.0000
Sm1 0.0000 0.6623 0.3247
Sm2 0.0000 0.3377 0.6753

=====

8.
# TbSmPb2, optimized geometry, DFT PBE
# space group: Pnma
# energy of formation from the pure elements: -0.383 eV per atom
# V: 500.79 Å³ per cell
# magnetic moment: 0.00 Bohr magnetons per cell
# E_tot: -4.574 eV per atom
# density of states at the Fermi level: 8.858 states/eV/cell
data_TbSmPb2
_chemical_formula_sum 'Tb4 Sm4 Pb8'
_cell_length_a 3.6613
_cell_length_b 8.0566
_cell_length_c 16.9773
_cell_angle_alpha 90.00
_cell_angle_beta 90.00
_cell_angle_gamma 90.00
_symmetry_space_group_name_H-M 'P 1'
_symmetry_Int_Tables_number 1
loop_
_symmetry_equiv_pos_as_xyz
'x,y,z'
loop_
_atom_site_label
_atom_site_fract_x
_atom_site_fract_y
_atom_site_fract_z
Pb1 0.7500 0.7728 0.0003
Pb2 0.2500 0.8013 0.2474
Pb3 0.7500 0.1987 0.7526
Pb4 0.2500 0.3013 0.2526
Pb5 0.2500 0.2272 0.9997
Pb6 0.2500 0.7272 0.5003
Pb7 0.7500 0.2728 0.4997
Pb8 0.7500 0.6987 0.7474
Sm1 0.2500 0.4450 0.6369
Sm2 0.2500 0.9450 0.8631
Sm3 0.7500 0.5550 0.3631
Sm4 0.7500 0.0550 0.1369
Tb1 0.2500 0.0467 0.3925
Tb2 0.7500 0.4533 0.8925
Tb3 0.2500 0.5467 0.1075
Tb4 0.7500 0.9533 0.6075

=====

9.
# Tb5SmPb4, optimized geometry, DFT PBE
# space group: C2/m
# energy of formation from the pure elements: -0.249 eV per atom
# V: 325.70 Å³ per cell
# magnetic moment: 0.53 Bohr magnetons per cell
# E_tot: -4.519 eV per atom
# density of states at the Fermi level: 10.473 states/eV/cell
data_Tb5SmPb4
_chemical_formula_sum 'Tb5 Sm1 Pb4'
_cell_length_a 4.5532
_cell_length_b 8.0777
_cell_length_c 9.3600
_cell_angle_alpha 102.34
_cell_angle_beta 104.08
_cell_angle_gamma 90.00
_symmetry_space_group_name_H-M 'P 1'
_symmetry_Int_Tables_number 1
loop_
_symmetry_equiv_pos_as_xyz
'x,y,z'
loop_
_atom_site_label
_atom_site_fract_x
_atom_site_fract_y
_atom_site_fract_z
Pb1 0.3154 0.9862 0.6307
Pb2 0.0380 0.2794 0.0759
Pb3 0.6846 0.0138 0.3693
Pb4 0.9620 0.7206 0.9241
Tb1 0.5000 0.5000 0.0000
Tb2 0.2078 0.3113 0.4155
Tb3 0.8605 0.2749 0.7211
Tb4 0.1395 0.7251 0.2789
Tb5 0.7922 0.6887 0.5845
Sm1 0.5000 0.0000 0.0000

=====

10.
# TbSmTePb, optimized geometry, DFT PBE
# space group: R3m
# formation energy from raw total energies: -0.97 eV per atom
# V: 126.12 Å³ per cell
# magnetic moment: 0.00 Bohr magnetons per cell
# E_tot: -5.025 eV per atom
# density of states at the Fermi level: 1.364 states/eV/cell
data_TbSmTePb
_chemical_formula_sum 'Tb1 Sm1 Te1 Pb1'
_cell_length_a 4.4657
_cell_length_b 4.4657
_cell_length_c 7.7445
_cell_angle_alpha 73.24
_cell_angle_beta 73.24
_cell_angle_gamma 60.00
_symmetry_space_group_name_H-M 'P 1'
_symmetry_Int_Tables_number 1
loop_
_symmetry_equiv_pos_as_xyz
'x,y,z'
loop_
_atom_site_label
_atom_site_fract_x
_atom_site_fract_y
_atom_site_fract_z
Tb1 0.4415 0.4415 0.6755
Pb1 0.6956 0.6956 0.9133
Te1 0.1925 0.1925 0.4225
Sm1 0.9469 0.9469 0.1594

=====

11.
# Tb6Sm2Tm3Pb, optimized geometry, DFT PBE
# space group: C2/m
# energy of formation from the pure elements: -0.059 eV per atom
# V: 371.22 Å³ per cell
# magnetic moment: 0.00 Bohr magnetons per cell
# E_tot: -4.588 eV per atom
# density of states at the Fermi level: 13.694 states/eV/cell
data_Tb6Sm2Tm3Pb
_chemical_formula_sum 'Tb6 Sm2 Tm3 Pb1'
_cell_length_a 6.0914
_cell_length_b 6.0914
_cell_length_c 11.7316
_cell_angle_alpha 94.96
_cell_angle_beta 94.96
_cell_angle_gamma 120.02
_symmetry_space_group_name_H-M 'P 1'
_symmetry_Int_Tables_number 1
loop_
_symmetry_equiv_pos_as_xyz
'x,y,z'
loop_
_atom_site_label
_atom_site_fract_x
_atom_site_fract_y
_atom_site_fract_z
Tb1 0.5886 0.9163 0.7481
Tb2 0.2437 0.2437 0.7470
Tb3 0.4114 0.0837 0.2519
Tb4 0.0837 0.4114 0.2519
Tb5 0.9163 0.5886 0.7481
Tb6 0.7563 0.7563 0.2530
Sm1 0.6661 0.3339 0.0000
Sm2 0.3339 0.6661 0.0000
Tm1 0.1674 0.8326 0.5000
Tm2 0.5000 0.5000 0.5000
Tm3 0.8326 0.1674 0.5000
Pb1 0.0000 0.0000 0.0000

=====

12.
# Tb3Sm2Y6Pb, optimized geometry, DFT PBE
# space group: C2/m
# energy of formation from the pure elements: -0.064 eV per atom
# V: 378.11 Å³ per cell
# magnetic moment: 0.00 Bohr magnetons per cell
# E_tot: -5.549 eV per atom
# density of states at the Fermi level: 15.237 states/eV/cell
data_Tb3Sm2Y6Pb
_chemical_formula_sum 'Tb3 Sm2 Y6 Pb1'
_cell_length_a 6.1417
_cell_length_b 6.1417
_cell_length_c 11.7594
_cell_angle_alpha 95.02
_cell_angle_beta 95.02
_cell_angle_gamma 120.03
_symmetry_space_group_name_H-M 'P 1'
_symmetry_Int_Tables_number 1
loop_
_symmetry_equiv_pos_as_xyz
'x,y,z'
loop_
_atom_site_label
_atom_site_fract_x
_atom_site_fract_y
_atom_site_fract_z
Tb1 0.5000 0.5000 0.5000
Tb2 0.8329 0.1671 0.5000
Tb3 0.1671 0.8329 0.5000
Y1 0.4088 0.0819 0.2484
Y2 0.2446 0.2446 0.7505
Y3 0.0819 0.4088 0.2484
Y4 0.9181 0.5912 0.7516
Y5 0.5912 0.9181 0.7516
Y6 0.7554 0.7554 0.2495
Sm1 0.3339 0.6661 0.0000
Sm2 0.6661 0.3339 0.0000
Pb1 0.0000 0.0000 0.0000

=====

Look up the density of states at the Fermi level of the second one.
4.125 states/eV/cell